[1]
# GGA-PBEsol KYBi2F, relaxed
data_KYBi2F
_cell_length_a 4.6331
_cell_length_b 5.3030
_cell_length_c 5.3030
_cell_angle_alpha 90.00
_cell_angle_beta 90.00
_cell_angle_gamma 90.00
_space_group_name_H-M_alt 'P 1'
_space_group_IT_number 1
loop_
_space_group_symop_operation_xyz
'x,y,z'
loop_
_atom_site_label
_atom_site_type_symbol
_atom_site_fract_x
_atom_site_fract_y
_atom_site_fract_z
Y1 Y 0.5000 0.5000 0.5000
K1 K 0.5000 0.0000 0.0000
Bi1 Bi 0.0000 0.0000 0.5000
Bi2 Bi 0.0000 0.5000 0.0000
F1 F 0.0000 0.0000 0.0000
# - DFT total energy: -4.56 eV/atom
# - E_form (uncorrected): -0.865 eV per atom
# - Total magnetization: 0.000 μB/cell
# - Density of states at the Fermi level: 1.87 states/eV/cell

***

[2]
# GGA-PBEsol La5Ag, relaxed
data_La5Ag
_cell_length_a 3.5987
_cell_length_b 5.8048
_cell_length_c 8.9787
_cell_angle_alpha 90.00
_cell_angle_beta 101.56
_cell_angle_gamma 90.00
_space_group_name_H-M_alt 'P 1'
_space_group_IT_number 1
loop_
_space_group_symop_operation_xyz
'x,y,z'
loop_
_atom_site_label
_atom_site_type_symbol
_atom_site_fract_x
_atom_site_fract_y
_atom_site_fract_z
Ag1 Ag 0.0176 0.0000 0.0351
La1 La 0.2019 0.5000 0.4038
La2 La 0.3675 0.0000 0.7350
La3 La 0.5337 0.5000 0.0675
La4 La 0.6701 0.0000 0.3402
La5 La 0.8759 0.5000 0.7517
# - DFT total energy: -5.02 eV/atom
# - Excess energy over the best structure of this formula in the dataset: 56 meV/atom
# - Energy relative to the elements: -0.01 eV/atom
# - Total magnetization: 0.000 μB/cell
# - Density of states at the Fermi level: 7.20 states/eV/cell

***

- What is the formula in the first record?
  KYBi2F

***

- Look up the DFT total energy of the first one.
  -4.56 eV/atom

***

Copy entry 1 word for word.
# GGA-PBEsol KYBi2F, relaxed
data_KYBi2F
_cell_length_a 4.6331
_cell_length_b 5.3030
_cell_length_c 5.3030
_cell_angle_alpha 90.00
_cell_angle_beta 90.00
_cell_angle_gamma 90.00
_space_group_name_H-M_alt 'P 1'
_space_group_IT_number 1
loop_
_space_group_symop_operation_xyz
'x,y,z'
loop_
_atom_site_label
_atom_site_type_symbol
_atom_site_fract_x
_atom_site_fract_y
_atom_site_fract_z
Y1 Y 0.5000 0.5000 0.5000
K1 K 0.5000 0.0000 0.0000
Bi1 Bi 0.0000 0.0000 0.5000
Bi2 Bi 0.0000 0.5000 0.0000
F1 F 0.0000 0.0000 0.0000
# - DFT total energy: -4.56 eV/atom
# - E_form (uncorrected): -0.865 eV per atom
# - Total magnetization: 0.000 μB/cell
# - Density of states at the Fermi level: 1.87 states/eV/cell